Computed, not measured: a geometry-optimized Sn3MoH structure at the GGA-PBE level of DFT.

Calculated values
symmetry: Pm-3m (221)
final energy: -22.951 eV/f.u.
total magnetic moment: 2.8 Bohr magnetons per cell

Cell: 4.5961 4.5961 4.5961 Å, 90.00 90.00 90.00°
Closest atoms and distances in Å follow each position.
Fractional coordinates of all 5 atoms:
H 0.0000 0.0000 0.0000  6 Sn 2.30
Mo 0.5000 0.5000 0.5000  12 Sn 3.25
Sn 0.0000 0.5000 0.0000  2 H 2.30
Sn 0.0000 0.0000 0.5000  2 H 2.30
Sn 0.5000 0.0000 0.0000  2 H 2.30